Entry 1:
VASP calculation (PBE) on a relaxed structure of La2GaCuC.

Output
Symmetry = P4/mmm, No. 123
Formation energy = 1.040 eV per atom
Energy above the lowest structure with this stoichiometry = 1236 meV per atom

abc: 5.823 5.823 4.473
angles: 90.00 90.00 90.00
Atoms (fractional coordinates):
La: 0.000 0.500 0.000
La: 0.500 0.000 0.000
Ga: 0.000 0.000 0.000
Cu: 0.000 0.000 0.500
C: 0.500 0.500 0.500

=====

Entry 2:
VASP calculation (PBE) on a relaxed structure of YTiNbBr2.

Output
Calculated total energy = -5.142 eV per atom
Symmetry = P4/mmm, No. 123

abc: 5.179 5.179 4.865
angles: 90.00 90.00 90.00
Atoms (fractional coordinates):
Y: 0.000 0.000 0.000
Ti: 0.500 0.500 0.000
Nb: 0.500 0.500 0.500
Br: 0.000 0.500 0.500
Br: 0.500 0.000 0.500

=====

Entry 3:
VASP calculation (PBE) on a relaxed structure of YHg2I.

Output
Symmetry = Pm, No. 6
Energy above the lowest structure with this stoichiometry = 16 meV per atom

abc: 8.375 3.981 8.416
angles: 90.00 118.07 90.00
Atoms (fractional coordinates):
Y: 0.000 0.000 0.000
Y: 0.414 0.500 0.661
Hg: 0.127 0.000 0.700
Hg: 0.328 0.500 0.107
Hg: 0.493 0.000 0.419
Hg: 0.806 0.500 0.681
I: 0.038 0.500 0.308
I: 0.618 0.000 0.982

=====

Entry 4:
VASP calculation (PBE) on a relaxed structure of YAl.

Output
Symmetry = P6_3/mmc, No. 194
Formation energy = -0.229 eV per atom

abc: 8.811 8.811 4.462
angles: 90.00 90.00 120.00
Atoms (fractional coordinates):
Y: 0.171 0.343 0.250
Y: 0.171 0.829 0.250
Y: 0.343 0.171 0.750
Y: 0.657 0.829 0.250
Y: 0.829 0.171 0.750
Y: 0.829 0.657 0.750
Al: 0.120 0.560 0.750
Al: 0.440 0.560 0.750
Al: 0.440 0.880 0.750
Al: 0.560 0.120 0.250
Al: 0.560 0.440 0.250
Al: 0.880 0.440 0.250

=====

Entry 5:
VASP calculation (PBE) on a relaxed structure of HfTh3Sc12.

Output
Symmetry = P4/mmm, No. 123
Formation energy = 0.040 eV per atom

abc: 4.674 4.674 18.746
angles: 90.00 90.00 90.00
Atoms (fractional coordinates):
Hf: 0.000 0.000 0.000
Th: 0.000 0.000 0.247
Th: 0.000 0.000 0.500
Th: 0.000 0.000 0.753
Sc: 0.000 0.500 0.117
Sc: 0.000 0.500 0.372
Sc: 0.000 0.500 0.628
Sc: 0.000 0.500 0.883
Sc: 0.500 0.000 0.117
Sc: 0.500 0.000 0.372
Sc: 0.500 0.000 0.628
Sc: 0.500 0.000 0.883
Sc: 0.500 0.500 0.000
Sc: 0.500 0.500 0.245
Sc: 0.500 0.500 0.500
Sc: 0.500 0.500 0.755

=====

Entry 6:
VASP calculation (PBE) on a relaxed structure of Na2MnPbS4.

Output
Calculated total energy = -4.692 eV per atom
Symmetry = C2/c, No. 15

abc: 7.750 7.750 7.982
angles: 119.09 119.09 89.75
Atoms (fractional coordinates):
Na: 0.000 0.000 0.000
Na: 0.000 0.000 0.500
Na: 0.000 0.500 0.000
Na: 0.500 0.000 0.500
Mn: 0.000 0.500 0.500
Mn: 0.500 0.000 0.000
Pb: 0.500 0.500 0.000
Pb: 0.500 0.500 0.500
S: 0.204 0.704 0.479
S: 0.216 0.285 0.506
S: 0.285 0.216 0.006
S: 0.296 0.796 0.021
S: 0.704 0.204 0.979
S: 0.715 0.784 0.994
S: 0.784 0.715 0.494
S: 0.796 0.296 0.521

=====

Entry 7:
VASP calculation (PBE) on a relaxed structure of MnTc2Ru.

Output
Symmetry = I-42d, No. 122
Formation energy = 0.600 eV per atom
Energy above the lowest structure with this stoichiometry = 544 meV per atom

abc: 9.530 9.530 9.530
angles: 157.97 157.97 31.36
Atoms (fractional coordinates):
Mn: 0.000 0.000 0.000
Mn: 0.750 0.250 0.500
Tc: 0.100 0.625 0.975
Tc: 0.375 0.350 0.475
Tc: 0.650 0.125 0.025
Tc: 0.875 0.900 0.525
Ru: 0.250 0.750 0.500
Ru: 0.500 0.500 0.000

=====

Entry 8:
VASP calculation (PBE) on a relaxed structure of Pm6Nd2YTm.

Output
Symmetry = C2/c, No. 15
Formation energy = 0.112 eV per atom

abc: 8.974 8.974 9.774
angles: 94.10 94.10 118.38
Atoms (fractional coordinates):
Pm: 0.016 0.573 0.190
Pm: 0.126 0.754 0.555
Pm: 0.246 0.874 0.945
Pm: 0.290 0.500 0.382
Pm: 0.427 0.984 0.310
Pm: 0.500 0.290 0.882
Pm: 0.500 0.710 0.118
Pm: 0.573 0.016 0.690
Pm: 0.710 0.500 0.618
Pm: 0.754 0.126 0.055
Pm: 0.874 0.246 0.445
Pm: 0.984 0.427 0.810
Nd: 0.197 0.302 0.043
Nd: 0.302 0.197 0.543
Nd: 0.698 0.803 0.457
Nd: 0.803 0.698 0.957
Y: 0.021 0.979 0.250
Y: 0.979 0.021 0.750
Tm: 0.409 0.591 0.750
Tm: 0.591 0.409 0.250

=====

Entry 9:
VASP calculation (PBE) on a relaxed structure of La2Pr3Tl4.

Output
Symmetry = Cmce, No. 64
Formation energy = -0.265 eV per atom
Energy above the lowest structure with this stoichiometry = 62 meV per atom

abc: 9.137 9.137 9.664
angles: 90.00 90.00 131.41
Atoms (fractional coordinates):
La: 0.107 0.893 0.932
La: 0.393 0.607 0.432
La: 0.607 0.393 0.568
La: 0.893 0.107 0.068
Pr: 0.000 0.000 0.500
Pr: 0.031 0.469 0.750
Pr: 0.469 0.031 0.250
Pr: 0.500 0.500 0.000
Pr: 0.531 0.969 0.750
Pr: 0.969 0.531 0.250
Tl: 0.189 0.811 0.532
Tl: 0.224 0.276 0.750
Tl: 0.276 0.224 0.250
Tl: 0.311 0.689 0.032
Tl: 0.689 0.311 0.968
Tl: 0.724 0.776 0.750
Tl: 0.776 0.724 0.250
Tl: 0.811 0.189 0.468

=====

Entry 10:
VASP calculation (PBE) on a relaxed structure of Sm2TlPb.

Output
Symmetry = P4/mmm, No. 123
Formation energy = -0.444 eV per atom

abc: 5.134 5.134 4.411
angles: 90.00 90.00 90.00
Atoms (fractional coordinates):
Sm: 0.000 0.500 0.000
Sm: 0.500 0.000 0.000
Tl: 0.000 0.000 0.500
Pb: 0.500 0.500 0.500

=====

no.,N(E_F) (states/eV/cell)
1,5.25
2,6.07
3,5.80
4,10.48
5,26.96
6,2.07
7,8.23
8,27.86
9,14.33
10,3.04